# NdDy12Tm6

NdDy12Tm6 after structural relaxation (GGA-PBE, Alexandria via LeMat-Bulk).

a = 9.2416 Å, b = 9.2416 Å, c = 9.2416 Å
α = 107.60°, β = 107.60°, γ = 107.60°
Atoms (fractional coordinates):
Nd1 0.0000 0.0000 0.0000
Dy1 0.1112 0.5000 0.8888
Dy2 0.1112 0.8888 0.5000
Dy3 0.1479 0.3680 0.3680
Dy4 0.3680 0.1479 0.3680
Dy5 0.3680 0.3680 0.1479
Dy6 0.5000 0.1112 0.8888
Dy7 0.5000 0.8888 0.1112
Dy8 0.6320 0.6320 0.8521
Dy9 0.6320 0.8521 0.6320
Dy10 0.8521 0.6320 0.6320
Dy11 0.8888 0.1112 0.5000
Dy12 0.8888 0.5000 0.1112
Tm1 0.2682 0.6890 0.6890
Tm2 0.3110 0.3110 0.7318
Tm3 0.3110 0.7318 0.3110
Tm4 0.6890 0.2682 0.6890
Tm5 0.6890 0.6890 0.2682
Tm6 0.7318 0.3110 0.3110

Summary:
Energy relative to the lowest polymorph listed for this composition ... 5.31 eV/f.u.
Formation enthalpy at 0 K ... 0.44 eV per atom
Magnetization ... 0.00 μB/cell